[1]
12
Lattice="3.6628 -6.3979 0.0000 3.6628 6.3979 0.0000 -2.4439 0.0000 8.0829" Properties=species:S:1:pos:R:3 comment="Ac6Ru2Cl3F, optimized geometry, DFT PBE-GGA" mass_density_g_cm3=7.41 volume_a3_per_cell=379 space_group="C2/m, No. 12" e_form_raw_mev_per_atom=-1313 pbc="T T T"
Ac -0.0374 2.1977 6.4426
Ac 1.1508 0.0000 1.6113
Ac -0.0374 -2.1977 6.4426
Ac 4.9190 2.1977 1.6403
Ac 3.7308 0.0000 6.4715
Ac 4.9190 -2.1977 1.6403
Ru 3.6628 4.2800 0.0000
Ru 3.6628 -4.2800 0.0000
Cl -1.2220 0.0000 4.0414
Cl 2.4408 2.3580 4.0414
Cl 2.4408 -2.3580 4.0414
F 3.6628 0.0000 0.0000

[2]
5
Lattice="-2.1881 2.1881 7.2698 2.1881 -2.1881 7.2698 2.1881 2.1881 -7.2698" Properties=species:S:1:pos:R:3 comment="Ba2VRe2, optimized geometry, DFT PBE-GGA" mass_density_g_cm3=8.33 volume_a3_per_cell=139 space_group="I4/mmm, No. 139" delta_e_f_mev_per_atom=1884 de_polymorph_mev_per_atom=967 pbc="T T T"
Ba 2.1881 0.0000 3.6349
Ba 0.0000 2.1881 3.6349
V 0.0000 0.0000 0.0000
Re 0.0000 0.0000 6.1800
Re 0.0000 0.0000 8.3596

[3]
4
Lattice="3.4606 0.0000 0.0000 0.0000 3.4606 0.0000 0.0000 0.0000 8.9039" Properties=species:S:1:pos:R:3 comment="Dy2PaHg, optimized geometry, DFT PBE-GGA" mass_density_g_cm3=11.78 volume_a3_per_cell=107 space_group="P4/mmm, No. 123" delta_e_f_mev_per_atom=-142 de_polymorph_mev_per_atom=0 pbc="T T T"
Dy 0.0000 0.0000 2.1041
Dy 0.0000 0.0000 6.7998
Pa 1.7303 1.7303 4.4520
Hg 1.7303 1.7303 0.0000

[4]
5
Lattice="4.6517 0.0000 0.0000 0.0000 4.6517 0.0000 0.0000 0.0000 5.9348" Properties=species:S:1:pos:R:3 comment="CsYSnC2, optimized geometry, DFT PBE-GGA" mass_density_g_cm3=4.71 volume_a3_per_cell=128 space_group="P4/mmm, No. 123" delta_e_f_mev_per_atom=2691 pbc="T T T"
Cs 0.0000 0.0000 0.0000
Y 2.3258 2.3258 2.9674
Sn 0.0000 0.0000 2.9674
C 0.0000 2.3258 0.0000
C 2.3258 0.0000 0.0000

[5]
5
Lattice="5.7294 0.0000 0.0000 0.0000 5.7294 0.0000 0.0000 0.0000 5.7294" Properties=species:S:1:pos:R:3 comment="CsLi3Br, optimized geometry, DFT PBE-GGA" mass_density_g_cm3=2.06 volume_a3_per_cell=188 space_group="Pm-3m, No. 221" e_form_raw_mev_per_atom=-230 de_polymorph_mev_per_atom=0 pbc="T T T"
Cs 0.0000 0.0000 0.0000
Li 0.0000 2.8647 2.8647
Li 2.8647 0.0000 2.8647
Li 2.8647 2.8647 0.0000
Br 2.8647 2.8647 2.8647

[6]
8
Lattice="7.1079 0.0000 0.0000 0.0000 4.0855 0.0000 -2.3630 0.0000 6.8900" Properties=species:S:1:pos:R:3 comment="NaPu2PaSe4, optimized geometry, DFT PBE-GGA" mass_density_g_cm3=8.78 volume_a3_per_cell=200 space_group="P2/m, No. 10" e_form_raw_mev_per_atom=-1365 pbc="T T T"
Na 0.0000 0.0000 0.0000
Pu 2.3724 0.0000 3.4450
Pu 3.5540 2.0428 0.0000
Pa -1.1815 2.0428 3.4450
Se 1.1530 2.0428 1.7557
Se -0.0106 0.0000 5.1678
Se 4.7554 0.0000 1.7222
Se 3.5919 2.0428 5.1343

[7]
10
Lattice="4.2931 0.0000 0.0000 0.0000 4.2931 0.0000 0.0000 0.0000 10.8328" Properties=species:S:1:pos:R:3 comment="Sm2InGe4Pt3, optimized geometry, DFT PBE-GGA" mass_density_g_cm3=10.74 volume_a3_per_cell=200 space_group="P-4m2, No. 115" delta_e_f_mev_per_atom=-782 pbc="T T T"
Sm 0.0000 2.1465 2.6118
Sm 2.1465 0.0000 8.2210
In 0.0000 0.0000 5.4164
Ge 0.0000 0.0000 0.0000
Ge 0.0000 2.1465 7.0559
Ge 2.1465 0.0000 3.7769
Ge 2.1465 2.1465 0.0000
Pt 0.0000 2.1465 9.4894
Pt 2.1465 0.0000 1.3434
Pt 2.1465 2.1465 5.4164

[8]
9
Lattice="4.6233 0.0000 0.0000 1.5256 5.1829 0.0000 0.5984 -0.1435 5.9220" Properties=species:S:1:pos:R:3 comment="OsPt6Rh2, optimized geometry, DFT PBE-GGA" mass_density_g_cm3=18.33 volume_a3_per_cell=142 space_group="P-1, No. 2" delta_e_f_mev_per_atom=164 pbc="T T T"
Os 0.0000 0.0000 0.0000
Pt 1.5030 3.1057 1.6862
Pt 1.4957 0.2929 2.2580
Pt 2.8660 1.2371 5.6371
Pt 3.8813 3.8023 0.2848
Pt 5.2516 4.7465 3.6639
Pt 5.2443 1.9337 4.2357
Rh 2.9170 3.4078 4.0253
Rh 3.8303 1.6316 1.8966

[9]
4
Lattice="0.0000 3.7658 3.7658 3.7658 0.0000 3.7658 3.7658 3.7658 0.0000" Properties=species:S:1:pos:R:3 comment="AcZnGaPb, optimized geometry, DFT PBE-GGA" mass_density_g_cm3=8.85 volume_a3_per_cell=107 space_group="F-43m, No. 216" delta_e_f_mev_per_atom=-250 pbc="T T T"
Ac 0.0000 0.0000 0.0000
Zn 1.8829 1.8829 1.8829
Ga 5.6487 5.6487 5.6487
Pb 3.7658 3.7658 3.7658

[10]
4
Lattice="-1.6617 2.3798 4.3362 1.6617 -2.3798 4.3362 1.6617 2.3798 -4.3362" Properties=species:S:1:pos:R:3 comment="TcAs2P, optimized geometry, DFT PBE-GGA" mass_density_g_cm3=6.75 volume_a3_per_cell=69 space_group="Imm2, No. 44" delta_e_f_mev_per_atom=357 pbc="T T T"
Tc 0.0000 0.0000 0.0000
As 1.6617 0.0000 2.9251
As 0.0000 0.0000 4.8905
P 0.0000 2.3798 2.7184

[11]
6
Lattice="0.0000 4.0717 4.0717 4.0717 0.0000 4.0717 4.0717 4.0717 0.0000" Properties=species:S:1:pos:R:3 comment="LaTa4Pb, optimized geometry, DFT PBE-GGA" mass_density_g_cm3=13.16 volume_a3_per_cell=135 space_group="F-43m, No. 216" delta_e_f_mev_per_atom=404 pbc="T T T"
La 0.0000 0.0000 0.0000
Ta 3.0338 3.0338 3.0338
Ta 5.1096 5.1096 3.0338
Ta 5.1096 3.0338 5.1096
Ta 3.0338 5.1096 5.1096
Pb 6.1075 6.1075 6.1075

[12]
13
Lattice="-2.6681 4.5448 4.5942 2.6681 -4.5448 4.5942 2.6681 4.5448 -4.5942" Properties=species:S:1:pos:R:3 comment="ThPd6Pt6, optimized geometry, DFT PBE-GGA" mass_density_g_cm3=15.21 volume_a3_per_cell=223 space_group="Immm, No. 71" delta_e_f_mev_per_atom=-368 pbc="T T T"
Th 0.0000 0.0000 0.0000
Pd 2.6681 0.0000 1.8791
Pd 0.0000 3.1234 0.0000
Pd 0.0000 0.0000 3.1838
Pd 0.0000 0.0000 6.0046
Pd 0.0000 5.9661 0.0000
Pd 0.0000 4.5448 2.7151
Pt 1.3341 2.2724 -2.2971
Pt 1.3341 -2.2724 2.2971
Pt 2.6681 2.0327 0.0000
Pt -1.3341 2.2724 2.2971
Pt 1.3341 2.2724 2.2971
Pt 0.0000 2.5120 4.5942